Compound: KNiPb2
Source: Alexandria via LeMat-Bulk
Functional: PBE
Structure: optimized geometry

Lattice parameters (Å, degrees): 5.2155 5.2155 5.2155 60.00 60.00 60.00
Closest atoms and distances in Å follow each position.
Element x y z (fractional)
K: 0.0000 0.0000 0.0000  8 Pb 3.19
Ni: 0.5000 0.5000 0.5000  8 Pb 3.19
Pb: 0.2500 0.2500 0.2500  4 Ni 3.19, 4 K 3.19
Pb: 0.7500 0.7500 0.7500  4 Ni 3.19, 4 K 3.19

Computed properties:
For the calculated volume, the calculation gives 25.08 A^3/atom. As for the calculated formation energy: 34.2 kJ per mole of atoms. For the density of states at the Fermi level, the calculation gives 4.6 states/eV per cell. Its space group is Fm-3m (225).

Compound: BaRhN2F
Source: Alexandria via LeMat-Bulk
Functional: PBE
Structure: optimized geometry

Lattice parameters (Å, degrees): 4.7573 4.7573 4.8702 90.00 90.00 90.00
Closest atoms and distances in Å follow each position.
Element x y z (fractional)
Ba: 0.0000 0.0000 0.0000  4 N 2.38, 2 F 2.44
Rh: 0.5000 0.5000 0.5000  4 F 3.36, 8 N 3.40
N: 0.0000 0.5000 0.0000  2 Ba 2.38
N: 0.5000 0.0000 0.0000  2 Ba 2.38
F: 0.0000 0.0000 0.5000  2 Ba 2.44

Computed properties:
For the calculated volume, the calculation gives 22.04 A^3/atom. The energy above the most stable polymorph in this dataset is 2.029 eV/atom. For the density of states at the Fermi level, the calculation gives 4.5 states/eV per cell. The formation energy (no corrections) is 1.44 eV per atom. Its space group is P4/mmm (123).

Compound: Sm2CuGe3Ir4
Source: Alexandria via LeMat-Bulk
Functional: PBE
Structure: optimized geometry

Lattice parameters (Å, degrees): 4.1885 4.1885 10.3720 90.00 90.00 90.00
Closest atoms and distances in Å follow each position.
Element x y z (fractional)
Sm: 0.0000 0.5000 0.2464  8 Ir 3.18-3.36, 6 Ge 3.22-3.30, 2 Cu 3.30
Sm: 0.5000 0.0000 0.7536  8 Ir 3.18-3.36, 6 Ge 3.22-3.30, 2 Cu 3.30
Cu: 0.5000 0.5000 0.0000  4 Ir 2.51
Ge: 0.0000 0.0000 0.0000  4 Ir 2.51
Ge: 0.0000 0.5000 0.6310  5 Ir 2.44-2.50
Ge: 0.5000 0.0000 0.3690  5 Ir 2.44-2.50
Ir: 0.0000 0.0000 0.5000  4 Ge 2.50
Ir: 0.0000 0.5000 0.8661  3 Ge 2.44-2.51, 2 Cu 2.51
Ir: 0.5000 0.0000 0.1339  3 Ge 2.44-2.51, 2 Cu 2.51
Ir: 0.5000 0.5000 0.5000  4 Ge 2.50

Computed properties:
For the calculated volume, the calculation gives 18.20 A^3/atom. As for the calculated formation energy: -65.8 kJ per mole of atoms. For the density of states at the Fermi level, the calculation gives 5.2 states/eV per cell. Its space group is P-4m2 (115).

Compound: Pr2Zn3Cu12Rh
Source: Alexandria via LeMat-Bulk
Functional: PBE
Structure: optimized geometry

Lattice parameters (Å, degrees): 9.8719 9.8719 9.8719 36.16 36.16 36.16
Closest atoms and distances in Å follow each position.
Element x y z (fractional)
Pr: 0.1493 0.1493 0.1493  12 Cu 3.10-3.43
Pr: 0.8507 0.8507 0.8507  12 Cu 3.10-3.43
Zn: 0.0000 0.5000 0.5000  6 Cu 2.41-2.62
Zn: 0.5000 0.0000 0.5000  6 Cu 2.41-2.62
Zn: 0.5000 0.5000 0.0000  6 Cu 2.41-2.62
Cu: 0.0815 0.0815 0.6903  4 Cu 2.40-2.44, 2 Zn 2.41
Cu: 0.0815 0.6903 0.0815  4 Cu 2.40-2.44, 2 Zn 2.41
Cu: 0.1444 0.5690 0.5690  4 Cu 2.44-2.60, 1 Rh 2.51, 1 Zn 2.62
Cu: 0.3097 0.9185 0.9185  4 Cu 2.40-2.44, 2 Zn 2.41
Cu: 0.4310 0.4310 0.8556  4 Cu 2.44-2.60, 1 Rh 2.51, 1 Zn 2.62
Cu: 0.4310 0.8556 0.4310  4 Cu 2.44-2.60, 1 Rh 2.51, 1 Zn 2.62
Cu: 0.5690 0.1444 0.5690  4 Cu 2.44-2.60, 1 Rh 2.51, 1 Zn 2.62
Cu: 0.5690 0.5690 0.1444  4 Cu 2.44-2.60, 1 Rh 2.51, 1 Zn 2.62
Cu: 0.6903 0.0815 0.0815  4 Cu 2.40-2.44, 2 Zn 2.41
Cu: 0.8556 0.4310 0.4310  4 Cu 2.44-2.60, 1 Rh 2.51, 1 Zn 2.62
Cu: 0.9185 0.3097 0.9185  4 Cu 2.40-2.44, 2 Zn 2.41
Cu: 0.9185 0.9185 0.3097  4 Cu 2.40-2.44, 2 Zn 2.41
Rh: 0.5000 0.5000 0.5000  6 Cu 2.51

Computed properties:
For the calculated volume, the calculation gives 16.65 A^3/atom. As for the calculated formation energy: 10.3 kJ per mole of atoms. For the density of states at the Fermi level, the calculation gives 7.2 states/eV per cell. Its space group is R-3m (166).

Compound: RbGaSn
Source: Alexandria via LeMat-Bulk
Functional: PBE
Structure: optimized geometry

Lattice parameters (Å, degrees): 6.0304 6.0304 6.7760 90.00 90.00 103.69
Closest atoms and distances in Å follow each position.
Element x y z (fractional)
Rb: 0.1266 0.8734 0.7500  5 Sn 3.72-3.93, 2 Ga 3.93, 2 Rb 4.15
Rb: 0.8734 0.1266 0.2500  5 Sn 3.72-3.93, 2 Ga 3.93, 2 Rb 4.15
Ga: 0.5000 0.5000 0.0000  2 Sn 2.63
Ga: 0.5000 0.5000 0.5000  2 Sn 2.63
Sn: 0.2880 0.7120 0.2500  2 Ga 2.63
Sn: 0.7120 0.2880 0.7500  2 Ga 2.63

Computed properties:
For the calculated volume, the calculation gives 39.90 A^3/atom. As for the calculated formation energy: 2.4 kJ per mole of atoms. For the density of states at the Fermi level, the calculation gives 2.0 states/eV per cell. Its space group is Cmcm (63).

Compound: TeMo2Cl
Source: Alexandria via LeMat-Bulk
Functional: PBE
Structure: optimized geometry

Lattice parameters (Å, degrees): 4.9884 4.9884 4.9884 129.32 129.32 74.49
Closest atoms and distances in Å follow each position.
Element x y z (fractional)
Te: 0.0000 0.0000 0.0000  4 Cl 2.92, 8 Mo 2.92-3.02
Mo: 0.5000 0.5000 0.0000  4 Cl 2.92, 4 Mo 2.92, 4 Te 3.02
Mo: 0.7500 0.2500 0.5000  4 Mo 2.92, 4 Te 2.92, 4 Cl 3.02
Cl: 0.2500 0.7500 0.5000  8 Mo 2.92-3.02, 4 Te 2.92

Computed properties:
For the calculated volume, the calculation gives 18.10 A^3/atom. The energy above the most stable polymorph in this dataset is 0.906 eV/atom. For the density of states at the Fermi level, the calculation gives 4.7 states/eV per cell. The formation energy (no corrections) is 0.81 eV per atom. Its space group is I-4m2 (119).

Compound: SrOs2PbW
Source: Alexandria via LeMat-Bulk
Functional: PBE
Structure: optimized geometry

Lattice parameters (Å, degrees): 4.7763 4.7763 5.3628 90.00 90.00 90.00
Closest atoms and distances in Å follow each position.
Element x y z (fractional)
Sr: 0.0000 0.0000 0.0000  4 Os 2.39
Os: 0.0000 0.5000 0.0000  2 Sr 2.39
Os: 0.5000 0.0000 0.0000  2 Sr 2.39
Pb: 0.0000 0.0000 0.5000  2 Sr 2.68
W: 0.5000 0.5000 0.5000  4 Pb 3.38, 8 Os 3.59

Computed properties:
For the calculated volume, the calculation gives 24.47 A^3/atom. As for the calculated formation energy: 343.2 kJ per mole of atoms. For the density of states at the Fermi level, the calculation gives 10.9 states/eV per cell. Its space group is P4/mmm (123).

Compound: Th6RhI15
Source: Alexandria via LeMat-Bulk
Functional: PBE
Structure: optimized geometry

Lattice parameters (Å, degrees): 10.7804 10.7804 10.7804 109.47 109.47 109.47
Closest atoms and distances in Å follow each position.
Element x y z (fractional)
Th: 0.0000 0.2317 0.2317  1 Rh 2.88, 4 I 3.15
Th: 0.0000 0.7683 0.7683  1 Rh 2.88, 4 I 3.15
Th: 0.2317 0.0000 0.2317  1 Rh 2.88, 4 I 3.15
Th: 0.2317 0.2317 0.0000  1 Rh 2.88, 4 I 3.15
Th: 0.7683 0.0000 0.7683  1 Rh 2.88, 4 I 3.15
Th: 0.7683 0.7683 0.0000  1 Rh 2.88, 4 I 3.15
Rh: 0.0000 0.0000 0.0000  6 Th 2.88
I: 0.0000 0.2522 0.7478  2 Th 3.15
I: 0.0000 0.5000 0.5000  2 Th 3.34
I: 0.0000 0.7478 0.2522  2 Th 3.15
I: 0.2522 0.0000 0.7478  2 Th 3.15
I: 0.2522 0.2522 0.5044  2 Th 3.15
I: 0.2522 0.5044 0.2522  2 Th 3.15
I: 0.2522 0.7478 0.0000  2 Th 3.15
I: 0.4956 0.7478 0.7478  2 Th 3.15
I: 0.5000 0.0000 0.5000  2 Th 3.34
I: 0.5000 0.5000 0.0000  2 Th 3.34
I: 0.5044 0.2522 0.2522  2 Th 3.15
I: 0.7478 0.0000 0.2522  2 Th 3.15
I: 0.7478 0.2522 0.0000  2 Th 3.15
I: 0.7478 0.4956 0.7478  2 Th 3.15
I: 0.7478 0.7478 0.4956  2 Th 3.15

Computed properties:
For the calculated volume, the calculation gives 43.84 A^3/atom. The formation energy (no corrections) is -1.16 eV per atom. Its space group is Im-3m (229).

Compound: BaCa4Mg2
Source: Alexandria via LeMat-Bulk
Functional: PBE
Structure: optimized geometry

Lattice parameters (Å, degrees): 10.2520 10.2520 5.5476 90.00 90.00 90.00
Closest atoms and distances in Å follow each position.
Element x y z (fractional)
Ba: 0.0000 0.0000 0.0000  6 Mg 3.99-4.28
Ba: 0.5000 0.5000 0.5000  6 Mg 3.99-4.28
Ca: 0.0899 0.3420 0.5000  3 Mg 3.43-3.44, 6 Ca 3.65-3.83
Ca: 0.1580 0.5899 0.0000  3 Mg 3.43-3.44, 6 Ca 3.65-3.83
Ca: 0.3420 0.0899 0.5000  3 Mg 3.43-3.44, 6 Ca 3.65-3.83
Ca: 0.4101 0.8420 0.0000  3 Mg 3.43-3.44, 6 Ca 3.65-3.83
Ca: 0.5899 0.1580 0.0000  3 Mg 3.43-3.44, 6 Ca 3.65-3.83
Ca: 0.6580 0.9101 0.5000  3 Mg 3.43-3.44, 6 Ca 3.65-3.83
Ca: 0.8420 0.4101 0.0000  3 Mg 3.43-3.44, 6 Ca 3.65-3.83
Ca: 0.9101 0.6580 0.5000  3 Mg 3.43-3.44, 6 Ca 3.65-3.83
Mg: 0.2246 0.7754 0.5000  6 Ca 3.43-3.44
Mg: 0.2754 0.2754 0.0000  6 Ca 3.43-3.44
Mg: 0.7246 0.7246 0.0000  6 Ca 3.43-3.44
Mg: 0.7754 0.2246 0.5000  6 Ca 3.43-3.44

Computed properties:
For the calculated volume, the calculation gives 41.65 A^3/atom. The energy above the most stable polymorph in this dataset is 0.003 eV/atom. As for the calculated formation energy: 3.4 kJ per mole of atoms. For the density of states at the Fermi level, the calculation gives 19.3 states/eV per cell. Its space group is P4_2/mnm (136).

Compound: Pm2AgPd3
Source: Alexandria via LeMat-Bulk
Functional: PBE
Structure: optimized geometry

Lattice parameters (Å, degrees): 9.1107 8.5908 5.9301 75.24 65.76 39.01
Closest atoms and distances in Å follow each position.
Element x y z (fractional)
Pm: 0.2464 0.7536 0.7536  10 Pd 3.09-3.25, 2 Ag 3.19
Pm: 0.2500 0.2500 0.2500  8 Pd 3.14-3.27, 4 Ag 3.23
Pm: 0.7500 0.7500 0.7500  8 Pd 3.14-3.27, 4 Ag 3.23
Pm: 0.7536 0.2464 0.2464  10 Pd 3.09-3.25, 2 Ag 3.19
Ag: 0.3326 0.3326 0.6674  3 Pd 2.66-2.67
Ag: 0.6674 0.6674 0.3326  3 Pd 2.66-2.67
Pd: 0.1622 0.1622 0.8378  2 Pd 2.66, 1 Ag 2.66
Pd: 0.1663 0.6631 0.3369  2 Pd 2.66, 1 Ag 2.67
Pd: 0.3369 0.8337 0.1663  2 Pd 2.66, 1 Ag 2.67
Pd: 0.6631 0.1663 0.8337  2 Pd 2.66, 1 Ag 2.67
Pd: 0.8337 0.3369 0.6631  2 Pd 2.66, 1 Ag 2.67
Pd: 0.8378 0.8378 0.1622  2 Pd 2.66, 1 Ag 2.66

Computed properties:
For the calculated volume, the calculation gives 22.06 A^3/atom. The energy above the most stable polymorph in this dataset is 0.085 eV/atom. As for the calculated formation energy: -57.6 kJ per mole of atoms. For the density of states at the Fermi level, the calculation gives 7.1 states/eV per cell. Its space group is Fmmm (69).

Compound: ZrScOF2
Source: Alexandria via LeMat-Bulk
Functional: PBE
Structure: optimized geometry

Lattice parameters (Å, degrees): 4.3851 4.3851 4.1592 90.00 90.00 90.00
Closest atoms and distances in Å follow each position.
Element x y z (fractional)
Zr: 0.0000 0.0000 0.0000  2 O 2.08, 4 F 2.19
Sc: 0.5000 0.5000 0.5000  8 F 3.02, 4 O 3.10
O: 0.0000 0.0000 0.5000  2 Zr 2.08
F: 0.0000 0.5000 0.0000  2 Zr 2.19
F: 0.5000 0.0000 0.0000  2 Zr 2.19

Computed properties:
For the calculated volume, the calculation gives 16.00 A^3/atom. The energy above the most stable polymorph in this dataset is 0.060 eV/atom. For the density of states at the Fermi level, the calculation gives 4.4 states/eV per cell. The formation energy (no corrections) is -2.12 eV per atom. Its space group is P4/mmm (123).

Compound: CsI2NCl
Source: Alexandria via LeMat-Bulk
Functional: PBE
Structure: optimized geometry

Lattice parameters (Å, degrees): 7.4226 7.4226 6.4621 90.00 90.00 90.00
Closest atoms and distances in Å follow each position.
Element x y z (fractional)
Cs: 0.0000 0.0000 0.0000  2 N 3.23
I: 0.0000 0.5000 0.0000  2 Cs 3.71
I: 0.5000 0.0000 0.0000  2 Cs 3.71
N: 0.0000 0.0000 0.5000  2 Cs 3.23
Cl: 0.5000 0.5000 0.5000  8 I 4.92, 4 N 5.25

Computed properties:
For the calculated volume, the calculation gives 71.21 A^3/atom. The energy above the most stable polymorph in this dataset is 0.582 eV/atom. For the density of states at the Fermi level, the calculation gives 13.5 states/eV per cell. The formation energy (no corrections) is 0.93 eV per atom. Its space group is P4/mmm (123).